DFT (PBEsol) results for a relaxed structure of Bi2Se3.

```
Bi2Se3
1.0
4.1069 0.0000 0.0000
0.0000 11.3987 0.0000
0.0000 0.0000 11.6865
Se Bi
12 8
Direct
0.7500 0.1333 0.9456 Se
0.2500 0.6333 0.5544 Se
0.7500 0.8011 0.7803 Se
0.2500 0.1989 0.2197 Se
0.7500 0.4456 0.1268 Se
0.2500 0.8667 0.0544 Se
0.7500 0.3667 0.4456 Se
0.7500 0.6989 0.2803 Se
0.2500 0.9456 0.3732 Se
0.2500 0.5544 0.8732 Se
0.7500 0.0544 0.6268 Se
0.2500 0.3011 0.7197 Se
0.2500 0.5358 0.3386 Bi
0.7500 0.8275 0.4937 Bi
0.7500 0.6725 0.9937 Bi
0.2500 0.1725 0.5063 Bi
0.2500 0.9642 0.8386 Bi
0.7500 0.4642 0.6614 Bi
0.2500 0.3275 0.0063 Bi
0.7500 0.0358 0.1614 Bi
```

Calculated values
Formation energy from raw total energies = -367 meV per atom
Calculated volume = 27.35 Å³/atom
Space group = Pnma, No. 62

DFT (PBEsol) results for a relaxed structure of CaSc2Ru.

```
CaSc2Ru
1.0
3.2230 0.0000 0.0000
0.0000 3.2230 0.0000
0.0000 0.0000 8.8661
Sc Ru Ca
2 1 1
Direct
0.0000 0.0000 0.6697 Sc
0.0000 0.0000 0.3303 Sc
0.5000 0.5000 0.5000 Ru
0.5000 0.5000 0.0000 Ca
```

Calculated values
Energy above the most stable polymorph in this dataset = 0.0 meV per atom
Formation energy = -255 meV per atom
Fermi-level density of states = 2.551 states/eV/cell
Calculated volume = 23.02 Å³/atom
Space group = P4/mmm, No. 123

DFT (PBEsol) results for a relaxed structure of ReRh.

```
ReRh
1.0
-0.6237 -2.6364 0.2997
0.8124 -0.6670 -4.1763
4.5362 -0.9554 1.0350
Re Rh
2 2
Direct
0.0000 0.0000 0.5915 Re
0.5000 0.5000 0.4085 Re
0.0000 0.5000 0.9218 Rh
0.5000 0.0000 0.0782 Rh
```

Calculated values
Energy above the most stable polymorph in this dataset = 58.0 meV per atom
Formation energy = -145 meV per atom
Fermi-level density of states = 2.686 states/eV/cell
Calculated volume = 13.94 Å³/atom
Space group = Pmmn, No. 59

DFT (PBEsol) results for a relaxed structure of LuCoB4.

```
LuCoB4
1.0
-1.7086 0.5173 2.7351
-4.9183 -1.1705 -2.8511
1.0230 -10.8558 2.6922
Co B Lu
4 16 4
Direct
0.5000 0.3651 0.4105 Co
0.5000 0.1349 0.9105 Co
0.5000 0.8651 0.0895 Co
0.5000 0.6349 0.5895 Co
0.0000 0.8878 0.9533 B
0.0000 0.2851 0.8147 B
0.0000 0.0224 0.1922 B
0.0000 0.1122 0.0467 B
0.0000 0.2149 0.3147 B
0.0000 0.6370 0.0323 B
0.0000 0.6122 0.4533 B
0.0000 0.9776 0.8078 B
0.0000 0.7851 0.6853 B
0.0000 0.4776 0.6922 B
0.0000 0.8630 0.5323 B
0.0000 0.7149 0.1853 B
0.0000 0.1370 0.4677 B
0.0000 0.3630 0.9677 B
0.0000 0.3878 0.5467 B
0.0000 0.5224 0.3078 B
0.5000 0.3710 0.1498 Lu
0.5000 0.6290 0.8502 Lu
0.5000 0.1290 0.6498 Lu
0.5000 0.8710 0.3502 Lu
```

Calculated values
Formation energy = -706 meV per atom
Fermi-level density of states = 7.914 states/eV/cell
Calculated volume = 8.87 Å³/atom
Space group = Pbam, No. 55

DFT (PBEsol) results for a relaxed structure of Tl2Zn.

```
Tl2Zn
1.0
3.4065 0.0000 0.0000
-1.7033 2.9501 0.0000
0.0000 0.0000 7.2000
Tl Zn
2 1
Direct
0.3333 0.6667 0.3076 Tl
0.6667 0.3333 0.6924 Tl
0.0000 0.0000 0.0000 Zn
```

Calculated values
Formation energy = 158 meV per atom
Fermi-level density of states = 1.384 states/eV/cell
Calculated volume = 24.12 Å³/atom
Space group = P-3m1, No. 164

DFT (PBEsol) results for a relaxed structure of MnNi3O4.

```
MnNi3O4
1.0
2.8163 0.0000 0.0000
0.0000 5.4968 -0.4668
0.0000 -2.2821 5.0224
Mn Ni O
1 3 4
Direct
0.0000 0.5000 0.5000 Mn
0.5000 0.0000 0.5000 Ni
0.0000 0.0000 0.0000 Ni
0.5000 0.5000 0.0000 Ni
0.5000 0.2675 0.2675 O
0.5000 0.7325 0.7325 O
0.0000 0.7912 0.2088 O
0.0000 0.2088 0.7912 O
```

Calculated values
Energy above the most stable polymorph in this dataset = 0.0 meV per atom
Formation energy from raw total energies = -685 meV per atom
Fermi-level density of states = 3.840 states/eV/cell
Calculated volume = 9.34 Å³/atom
Space group = Cmmm, No. 65

DFT (PBEsol) results for a relaxed structure of CrMo3O.

```
CrMo3O
1.0
4.3686 0.0000 0.0000
0.0000 4.3686 0.0000
0.0000 0.0000 4.3686
Cr Mo O
1 3 1
Direct
0.0000 0.0000 0.0000 Cr
0.5000 0.0000 0.0000 Mo
0.0000 0.0000 0.5000 Mo
0.0000 0.5000 0.0000 Mo
0.5000 0.5000 0.5000 O
```

Calculated values
Formation energy from raw total energies = 1852 meV per atom
Fermi-level density of states = 4.120 states/eV/cell
Calculated volume = 16.67 Å³/atom
Space group = Pm-3m, No. 221

DFT (PBEsol) results for a relaxed structure of BaHg4.

```
BaHg4
1.0
4.7247 0.0000 0.0000
0.0000 4.7247 0.0000
-2.3623 -2.3623 6.2488
Hg Ba
4 1
Direct
0.3869 0.3869 0.7738 Hg
0.2500 0.7500 0.5000 Hg
0.6131 0.6131 0.2262 Hg
0.7500 0.2500 0.5000 Hg
0.0000 0.0000 0.0000 Ba
```

Calculated values
Energy above the most stable polymorph in this dataset = 27.5 meV per atom
Formation energy = -392 meV per atom
Fermi-level density of states = 2.882 states/eV/cell
Calculated volume = 27.90 Å³/atom
Space group = I4/mmm, No. 139

DFT (PBEsol) results for a relaxed structure of Mg2ZrBeP.

```
Mg2ZrBeP
1.0
3.9689 0.0000 0.0000
0.0000 4.9744 0.0000
0.0000 0.0000 4.9744
P Zr Mg Be
1 1 2 1
Direct
0.0000 0.0000 0.0000 P
0.5000 0.5000 0.5000 Zr
0.0000 0.0000 0.5000 Mg
0.0000 0.5000 0.0000 Mg
0.5000 0.0000 0.0000 Be
```

Calculated values
Formation energy = 447 meV per atom
Fermi-level density of states = 3.084 states/eV/cell
Calculated volume = 19.64 Å³/atom
Space group = P4/mmm, No. 123

DFT (PBEsol) results for a relaxed structure of Zn22Ni3.

```
Zn22Ni3
1.0
-2.0554 -6.8848 1.3144
6.4868 2.4793 2.8345
-5.6052 2.5073 4.3685
Zn Ni
22 3
Direct
0.3377 0.3150 0.4641 Zn
0.3444 0.0828 0.6877 Zn
0.6850 0.3700 0.6221 Zn
0.6623 0.6850 0.5359 Zn
0.6180 0.6157 0.9004 Zn
0.6483 0.2965 0.2734 Zn
0.9773 0.9545 0.8243 Zn
0.7384 0.0828 0.6877 Zn
0.6772 0.0000 0.0000 Zn
0.9774 0.3150 0.4641 Zn
0.0226 0.6850 0.5359 Zn
0.0023 0.3843 0.0996 Zn
0.3517 0.7035 0.7266 Zn
0.3820 0.3843 0.0996 Zn
0.1693 0.3386 0.7843 Zn
0.9977 0.6157 0.9004 Zn
0.8307 0.6614 0.2157 Zn
0.3228 0.0000 0.0000 Zn
0.2616 0.9172 0.3123 Zn
0.0227 0.0455 0.1757 Zn
0.3150 0.6300 0.3779 Zn
0.6556 0.9172 0.3123 Zn
0.3429 0.6857 0.0543 Ni
0.0000 0.0000 0.5000 Ni
0.6571 0.3143 0.9457 Ni
```

Calculated values
Formation energy = -132 meV per atom
Fermi-level density of states = 5.822 states/eV/cell
Calculated volume = 13.46 Å³/atom
Space group = C2/m, No. 12

DFT (PBEsol) results for a relaxed structure of Sc2TaSb.

```
Sc2TaSb
1.0
-2.9377 -0.2333 -1.2409
-2.3134 -1.4823 1.6356
-4.1416 7.6919 4.2388
Sb Sc Ta
1 2 1
Direct
0.0000 0.0000 0.0000 Sb
0.7521 0.7521 0.7437 Sc
0.2479 0.2479 0.2563 Sc
0.5000 0.5000 0.5000 Ta
```

Calculated values
Formation energy from raw total energies = -122 meV per atom
Fermi-level density of states = 4.701 states/eV/cell
Calculated volume = 21.10 Å³/atom
Space group = R-3m, No. 166

DFT (PBEsol) results for a relaxed structure of Hg6S4IBr2Cl.

```
Hg6S4IBr2Cl
1.0
-3.7570 2.4022 -8.2051
2.6937 -11.6103 -4.6325
-11.4100 -4.2369 3.9841
S Hg I Cl Br
16 24 4 4 8
Direct
0.4962 0.0350 0.7638 S
0.0038 0.0350 0.7638 S
0.5038 0.9650 0.2362 S
0.4956 0.7354 0.5351 S
0.4956 0.7646 0.0351 S
0.4962 0.4650 0.2638 S
0.9956 0.2646 0.4649 S
0.0044 0.7354 0.5351 S
0.5044 0.2646 0.4649 S
0.9962 0.9650 0.2362 S
0.9962 0.5350 0.7362 S
0.9956 0.2354 0.9649 S
0.5038 0.5350 0.7362 S
0.0038 0.4650 0.2638 S
0.5044 0.2354 0.9649 S
0.0044 0.7646 0.0351 S
0.4890 0.8793 0.6575 Hg
0.0110 0.6207 0.1575 Hg
0.9914 0.3447 0.1188 Hg
0.2500 0.3057 0.4676 Hg
0.9890 0.1207 0.3425 Hg
0.5086 0.1553 0.6188 Hg
0.5110 0.1207 0.3425 Hg
0.4914 0.6553 0.8812 Hg
0.7500 0.6943 0.5324 Hg
0.4914 0.8447 0.3812 Hg
0.5086 0.3447 0.1188 Hg
0.2500 0.5320 0.6871 Hg
0.2500 0.1943 0.9676 Hg
0.0086 0.6553 0.8812 Hg
0.7500 0.0320 0.8129 Hg
0.5110 0.3793 0.8425 Hg
0.9914 0.1553 0.6188 Hg
0.9890 0.3793 0.8425 Hg
0.0086 0.8447 0.3812 Hg
0.7500 0.8057 0.0324 Hg
0.4890 0.6207 0.1575 Hg
0.0110 0.8793 0.6575 Hg
0.2500 0.9680 0.1871 Hg
0.7500 0.4680 0.3129 Hg
0.2500 0.5030 0.0043 I
0.2500 0.9970 0.5043 I
0.7500 0.0030 0.4957 I
0.7500 0.4970 0.9957 I
0.2500 0.9898 0.9864 Cl
0.2500 0.5102 0.4864 Cl
0.7500 0.0102 0.0136 Cl
0.7500 0.4898 0.5136 Cl
0.7500 0.7174 0.2840 Br
0.2500 0.7282 0.2726 Br
0.7500 0.2282 0.2274 Br
0.2500 0.7718 0.7726 Br
0.7500 0.7826 0.7840 Br
0.7500 0.2718 0.7274 Br
0.2500 0.2826 0.7160 Br
0.2500 0.2174 0.2160 Br
```

Calculated values
Formation energy from raw total energies = -302 meV per atom
Calculated volume = 27.31 Å³/atom
Space group = Pnma, No. 62

Number 1: calculated density 7.95 Mg/m³, M_tot 0.0 μB/f.u.. Number 2: calculated density 4.17 Mg/m³, M_tot 0.0 μB/f.u.. Number 3: calculated density 17.22 Mg/m³, M_tot 0.0 μB/f.u.. Number 4: calculated density 8.65 Mg/m³, M_tot 0.0 μB/f.u.. Number 5: calculated density 10.88 Mg/m³, M_tot 0.0 μB/f.u.. Number 6: calculated density 6.55 Mg/m³, M_tot 7.9 μB/f.u.. Number 7: calculated density 7.09 Mg/m³, M_tot 0.0 μB/f.u.. Number 8: calculated density 11.19 Mg/m³, M_tot 0.0 μB/f.u.. Number 9: calculated density 3.04 Mg/m³, M_tot 0.0 μB/f.u.. Number 10: calculated density 7.97 Mg/m³, M_tot 0.0 μB/f.u.. Number 11: calculated density 7.72 Mg/m³, M_tot 0.0 μB/f.u.. Number 12: calculated density 7.18 Mg/m³, M_tot 0.0 μB/f.u..